## La2PmNi6 (PBE-GGA)

Data for crystalline La2PmNi6 at its relaxed geometry.

Lattice parameters (Å, degrees): 7.024 7.024 4.009 90.00 90.00 120.00
Positions (direct):
La1 0.333 0.667 0.000
La2 0.667 0.333 0.000
Pm1 0.000 0.000 0.000
Ni1 0.000 0.332 0.500
Ni2 0.000 0.668 0.500
Ni3 0.332 0.000 0.500
Ni4 0.332 0.332 0.500
Ni5 0.668 0.000 0.500
Ni6 0.668 0.668 0.500

## Properties
total DFT energy (no corrections) = -5.80 eV/atom
calculated volume = 19.04 Å³ per atom
formation energy = -0.32 eV per atom
spin magnetization = 0.715 μB per cell

## Ni2POs (PBE-GGA)

Data for crystalline Ni2POs at its relaxed geometry.

Lattice parameters (Å, degrees): 3.537 3.537 3.784 90.00 90.00 90.00
Positions (direct):
Ni1 0.000 0.500 0.000
Ni2 0.500 0.000 0.000
P1 0.000 0.000 0.500
Os1 0.500 0.500 0.500

## Properties
total DFT energy (no corrections) = -7.02 eV/atom
calculated volume = 11.83 Å³ per atom
ΔE to the lowest computed polymorph = 122 meV/atom
formation energy = 0.03 eV per atom
spin magnetization = 0.005 μB per cell